VASP calculation (PBE) on crystalline Ce2Sc2Sb2H at its relaxed geometry.

Computed properties:
* size of the total moment: 4.4 μB/f.u.
* uncorrected energy: -83.0 eV per cell

Lattice parameters (Å, degrees): 4.478 4.478 16.267 90.00 90.00 90.00
Space group I4/mmm (No. 139)
Symmetry-distinct sites (fractional):
Ce: 0.000 0.000 0.172 (multiplicity 4)
Sc: 0.000 0.500 0.000 (multiplicity 4)
Sb: 0.000 0.000 0.372 (multiplicity 4)
H: 0.000 0.000 0.000 (multiplicity 2)


VASP calculation (PBE) on crystalline Ce4Sm2Sb3H2 at its relaxed geometry.

Computed properties:
* size of the total moment: 3.2 μB/f.u.
* uncorrected energy: -119.7 eV per cell

Lattice parameters (Å, degrees): 4.534 4.534 26.733 90.00 90.00 90.00
Space group I4/mmm (No. 139)
Symmetry-distinct sites (fractional):
Ce: 0.000 0.500 0.085 (multiplicity 8)
Sm: 0.000 0.000 0.203 (multiplicity 4)
Sb: 0.000 0.000 0.323 (multiplicity 4)
Sb: 0.000 0.000 0.500 (multiplicity 2)
H: 0.000 0.000 0.068 (multiplicity 4)


VASP calculation (PBE) on crystalline Sr2Ce4Sb3H2 at its relaxed geometry.

Computed properties:
* size of the total moment: 5.8 μB/f.u.
* uncorrected energy: -108.2 eV per cell

Lattice parameters (Å, degrees): 4.806 4.806 26.363 90.00 90.00 90.00
Space group I4/mmm (No. 139)
Symmetry-distinct sites (fractional):
Sr: 0.000 0.000 0.199 (multiplicity 4)
Ce: 0.000 0.500 0.081 (multiplicity 8)
Sb: 0.000 0.000 0.330 (multiplicity 4)
Sb: 0.000 0.000 0.500 (multiplicity 2)
H: 0.000 0.000 0.098 (multiplicity 4)


VASP calculation (PBE) on crystalline Ce2Th4Sb3H2 at its relaxed geometry.

Computed properties:
* size of the total moment: 3.6 μB/f.u.
* uncorrected energy: -132.6 eV per cell

Lattice parameters (Å, degrees): 4.704 4.704 26.704 90.00 90.00 90.00
Space group I4/mmm (No. 139)
Symmetry-distinct sites (fractional):
Ce: 0.000 0.000 0.203 (multiplicity 4)
Th: 0.000 0.500 0.085 (multiplicity 8)
Sb: 0.000 0.000 0.325 (multiplicity 4)
Sb: 0.000 0.000 0.500 (multiplicity 2)
H: 0.000 0.000 0.069 (multiplicity 4)


VASP calculation (PBE) on crystalline CeScH2 at its relaxed geometry.

Computed properties:
* size of the total moment: 0.5 μB/f.u.
* energy above the most stable polymorph in this dataset: 0.000 eV per formula unit

Lattice parameters (Å, degrees): 3.2972 3.2972 17.1528 90.00 90.00 120.00
Space group R-3m (No. 166, hexagonal axes)
Symmetry-distinct sites (fractional):
Ce: 0.0000 0.0000 0.0000 (multiplicity 3)
Sc: 0.0000 0.0000 0.5000 (multiplicity 3)
H: 0.0000 0.0000 0.2353 (multiplicity 6)


VASP calculation (PBE) on crystalline CeSc2H7 at its relaxed geometry.

Computed properties:
* size of the total moment: 0.8 μB/f.u.
* uncorrected energy: -96.2 eV per cell

Lattice parameters (Å, degrees): 3.446 3.446 15.602 90.00 90.00 90.00
Space group I4/mmm (No. 139)
Symmetry-distinct sites (fractional):
Ce: 0.000 0.000 0.000 (multiplicity 2)
Sc: 0.000 0.000 0.325 (multiplicity 4)
H: 0.000 0.000 0.500 (multiplicity 2)
H: 0.000 0.500 0.101 (multiplicity 8)
H: 0.000 0.500 0.250 (multiplicity 4)


VASP calculation (PBE) on crystalline Ce3ScH8 at its relaxed geometry.

Computed properties:
* size of the total moment: 2.6 μB/f.u.
* uncorrected energy: -57.6 eV per cell

Lattice parameters (Å, degrees): 5.266 5.266 5.266 90.00 90.00 90.00
Space group Pm-3m (No. 221)
Symmetry-distinct sites (fractional):
Ce: 0.000 0.000 0.500 (multiplicity 3)
Sc: 0.500 0.500 0.500 (multiplicity 1)
H: 0.268 0.268 0.268 (multiplicity 8)


VASP calculation (PBE) on crystalline Ce2ScH8 at its relaxed geometry.

Computed properties:
* size of the total moment: 1.8 μB/f.u.
* uncorrected energy: -101.6 eV per cell

Lattice parameters (Å, degrees): 3.776 4.972 11.374 90.00 90.00 90.00
Space group Immm (No. 71)
Symmetry-distinct sites (fractional):
Ce: 0.000 0.000 0.170 (multiplicity 4)
Sc: 0.000 0.000 0.500 (multiplicity 2)
H: 0.000 0.242 0.356 (multiplicity 8)
H: 0.000 0.269 0.000 (multiplicity 4)
H: 0.000 0.500 0.195 (multiplicity 4)


VASP calculation (PBE) on crystalline CeSc2H at its relaxed geometry.

Computed properties:
* size of the total moment: 0.0 μB/f.u.
* energy above the most stable polymorph in this dataset: 0.959 eV per formula unit

Lattice parameters (Å, degrees): 3.033 3.033 8.224 90.00 90.00 90.00
Space group P4/mmm (No. 123)
Symmetry-distinct sites (fractional):
Ce: 0.000 0.000 0.000 (multiplicity 1)
Sc: 0.500 0.500 0.319 (multiplicity 2)
H: 0.000 0.000 0.500 (multiplicity 1)


VASP calculation (PBE) on crystalline Ce3ScH at its relaxed geometry.

Computed properties:
* size of the total moment: 3.0 μB/f.u.
* uncorrected energy: -27.7 eV per cell

Lattice parameters (Å, degrees): 4.889 4.889 4.889 90.00 90.00 90.00
Space group Pm-3m (No. 221)
Symmetry-distinct sites (fractional):
Ce: 0.000 0.000 0.500 (multiplicity 3)
Sc: 0.500 0.500 0.500 (multiplicity 1)
H: 0.000 0.000 0.000 (multiplicity 1)


VASP calculation (PBE) on crystalline CeScH2 at its relaxed geometry.

Computed properties:
* size of the total moment: 0.5 μB/f.u.
* energy above the most stable polymorph in this dataset: 0.170 eV per formula unit

Lattice parameters (Å, degrees): 3.2376 3.2376 17.5472 90.00 90.00 120.00
Space group R3m (No. 160, hexagonal axes)
Symmetry-distinct sites (fractional):
Ce: 0.0000 0.0000 0.0000 (multiplicity 3)
Sc: 0.0000 0.0000 0.8260 (multiplicity 3)
H: 0.0000 0.0000 0.2252 (multiplicity 3)
H: 0.0000 0.0000 0.4282 (multiplicity 3)


VASP calculation (PBE) on crystalline Ce2ScH6 at its relaxed geometry.

Computed properties:
* size of the total moment: 1.4 μB/f.u.
* uncorrected energy: -86.7 eV per cell

Lattice parameters (Å, degrees): 3.635 5.303 10.967 90.00 90.00 90.00
Space group Immm (No. 71)
Symmetry-distinct sites (fractional):
Ce: 0.000 0.000 0.161 (multiplicity 4)
Sc: 0.000 0.000 0.500 (multiplicity 2)
H: 0.000 0.228 0.343 (multiplicity 8)
H: 0.000 0.286 0.000 (multiplicity 4)